The following is a PBE-GGA calculation of Ta2TiIn2Se6 after structural relaxation, from Alexandria via LeMat-Bulk.

a b c (Å): 6.089 6.089 8.874
angles (deg): 96.04 96.04 119.95
Atoms (fractional coordinates):
Ta 0.159 0.841 0.000
Ta 0.841 0.159 0.000
Ti 0.500 0.500 0.000
In 0.208 0.792 0.500
In 0.792 0.208 0.500
Se 0.115 0.115 0.806
Se 0.227 0.558 0.185
Se 0.442 0.773 0.815
Se 0.558 0.227 0.185
Se 0.773 0.442 0.815
Se 0.885 0.885 0.194

Computed properties:
Calculated total energy, eV per atom: -5.978
Formation energy from raw total energies, kJ per mole of atoms: -68.2